[1]
TaCu2Ni (PBE-GGA, optimized geometry); D(E_F) = 13.1 states/eV per cell; magnetic moment = 0.001 Bohr magnetons per cell; final energy = -25.1 eV/f.u.; space-group type = No. 166; crystal system = trigonal; formation energy = 0.192 eV per atom
1.0
2.711 0.000 0.000
-1.356 2.348 0.000
0.000 0.000 25.721
Ta Cu Ni
3 6 3
direct
0.000 0.000 0.000
0.333 0.667 0.667
0.667 0.333 0.333
0.000 0.000 0.243
0.000 0.000 0.757
0.333 0.667 0.423
0.333 0.667 0.910
0.667 0.333 0.090
0.667 0.333 0.577
0.000 0.000 0.500
0.333 0.667 0.167
0.667 0.333 0.833

[2]
TaCuNi (PBE-GGA, optimized geometry); D(E_F) = 2.4 states/eV per cell; magnetic moment = 0.000 Bohr magnetons per cell; final energy = -22.1 eV/f.u.; space-group type = No. 187; crystal system = hexagonal; relative energy among the computed polymorphs = 0 meV/atom; formation energy = -0.116 eV per atom
1.0
4.199 0.000 0.000
-2.100 3.637 0.000
0.000 0.000 2.651
Ta Cu Ni
1 1 1
direct
0.000 0.000 0.000
0.667 0.333 0.500
0.333 0.667 0.500

D(E_F) of number 1 (TaCu2Ni)? 13.1 states/eV per cell

The highest magnetic moment belongs to which entry? TaCu2Ni

magnetic moment of number 2 (TaCuNi)? 0.000 Bohr magnetons per cell

The highest magnetic moment belongs to which entry? TaCu2Ni